Record 1
{
  "formula": "UCuGeN",
  "functional": "GGA-PBE",
  "state": "optimized geometry",
  "lattice_angstrom": [[3.911, 0.000, 0.000], [0.000, 3.911, 0.000], [0.000, 0.000, 7.883]],
  "species": ["Ge", "Ge", "Cu", "Cu", "U", "U", "N", "N"],
  "fractional_positions": [[0.500, 0.000, 0.184], [0.000, 0.500, 0.816], [0.000, 0.000, 0.000], [0.500, 0.500, 0.000], [0.000, 0.500, 0.356], [0.500, 0.000, 0.644], [0.000, 0.000, 0.500], [0.500, 0.500, 0.500]],
  "raw_formation_energy_ev_per_atom": -0.74
}


Record 2
{
  "formula": "SrNbC2I",
  "functional": "GGA-PBE",
  "state": "optimized geometry",
  "lattice_angstrom": [[-0.430, -4.222, -1.604], [5.933, -0.429, -0.461], [0.211, -1.628, 4.229]],
  "species": ["C", "C", "Nb", "Sr", "I"],
  "fractional_positions": [[0.500, 0.000, 0.000], [0.000, 0.000, 0.500], [0.000, 0.500, 0.000], [0.000, 0.000, 0.000], [0.500, 0.500, 0.500]],
  "polymorph_energy_mev_per_atom": 550,
  "raw_formation_energy_ev_per_atom": 3.06
}


Record 3
{
  "formula": "Cr2TeSe",
  "functional": "GGA-PBE",
  "state": "optimized geometry",
  "lattice_angstrom": [[9.645, -0.036, -0.021], [9.091, 3.222, -0.021], [9.091, 1.546, 2.827]],
  "species": ["Se", "Cr", "Cr", "Te"],
  "fractional_positions": [[0.532, 0.532, 0.532], [0.990, 0.990, 0.990], [0.252, 0.252, 0.252], [0.725, 0.725, 0.725]],
  "polymorph_energy_mev_per_atom": 287,
  "raw_formation_energy_ev_per_atom": 0.13
}


Record 4
{
  "formula": "KSiRh",
  "functional": "GGA-PBE",
  "state": "optimized geometry",
  "lattice_angstrom": [[3.973, 0.000, 0.000], [-1.987, 3.441, 0.000], [0.000, 0.000, 5.563]],
  "species": ["Si", "K", "Rh"],
  "fractional_positions": [[0.333, 0.667, 0.500], [0.000, 0.000, 0.000], [0.667, 0.333, 0.500]],
  "polymorph_energy_mev_per_atom": 294,
  "raw_formation_energy_ev_per_atom": -0.20
}


Record 5
{
  "formula": "LaCd9Au2",
  "functional": "GGA-PBE",
  "state": "optimized geometry",
  "lattice_angstrom": [[1.253, 1.682, 7.304], [-5.902, -3.984, 5.884], [5.758, -5.801, 4.302]],
  "species": ["Cd", "Cd", "Cd", "Cd", "Cd", "Cd", "Cd", "Cd", "Cd", "Cd", "Cd", "Cd", "Cd", "Cd", "Cd", "Cd", "Cd", "Cd", "Au", "Au", "Au", "Au", "La", "La"],
  "fractional_positions": [[0.000, 0.000, 0.000], [0.600, 0.080, 0.321], [0.320, 0.679, 0.080], [0.671, 0.179, 0.580], [0.150, 0.420, 0.179], [0.749, 0.821, 0.580], [0.430, 0.821, 0.420], [0.001, 0.679, 0.920], [0.079, 0.321, 0.920], [0.150, 0.179, 0.420], [0.320, 0.080, 0.679], [0.001, 0.920, 0.679], [0.671, 0.580, 0.179], [0.079, 0.920, 0.321], [0.430, 0.420, 0.821], [0.749, 0.580, 0.821], [0.750, 0.500, 0.500], [0.600, 0.321, 0.080], [0.375, 0.750, 0.750], [0.875, 0.750, 0.250], [0.875, 0.250, 0.750], [0.875, 0.250, 0.250], [0.500, 0.000, 0.000], [0.250, 0.500, 0.500]],
  "delta_e_f_ev_per_atom": -0.24
}


Record 6
{
  "formula": "Ag2RhBr6",
  "functional": "GGA-PBE",
  "state": "optimized geometry",
  "lattice_angstrom": [[-6.201, 3.005, -0.328], [-2.354, -5.178, -2.932], [-2.732, -4.495, 10.133]],
  "species": ["Br", "Br", "Br", "Br", "Br", "Br", "Br", "Br", "Br", "Br", "Br", "Br", "Ag", "Ag", "Ag", "Ag", "Rh", "Rh"],
  "fractional_positions": [[0.661, 0.284, 0.157], [0.839, 0.784, 0.343], [0.707, 0.230, 0.501], [0.293, 0.770, 0.499], [0.839, 0.779, 0.654], [0.339, 0.716, 0.843], [0.793, 0.730, 0.999], [0.339, 0.721, 0.154], [0.161, 0.216, 0.657], [0.161, 0.221, 0.346], [0.661, 0.279, 0.846], [0.207, 0.270, 0.001], [0.001, 0.502, 0.177], [0.999, 0.498, 0.823], [0.499, 0.002, 0.323], [0.501, 0.998, 0.677], [0.500, 0.500, 0.000], [0.000, 0.000, 0.500]],
  "polymorph_energy_mev_per_atom": 0,
  "raw_formation_energy_ev_per_atom": -0.31
}